Entry from Alexandria: a relaxed structure of Mg3Re2 (PBE).

Structure (POSCAR):
```
Mg3Re2
1.0
7.961 -4.290 1.226
3.331 -6.687 2.859
3.188 -1.045 -4.312
Mg Re
6 4
Cartesian
11.683 -9.732 1.042 Mg
3.753 -2.688 0.190 Mg
6.651 -7.415 -1.206 Mg
10.305 -7.657 -0.882 Mg
8.340 -6.679 0.889 Mg
6.409 -4.699 -0.615 Mg
5.125 -2.780 -2.259 Re
9.672 -8.483 2.622 Re
5.425 -7.183 1.267 Re
8.651 -5.802 -2.244 Re
```

The value obtained for the formation energy is 9.0 kcal/mol of atoms. The calculation puts the magnetic moment at 0.0 μB per cell. The density of states at the Fermi level comes out at 2.8 states/eV/cell.

=====

Entry from Alexandria: a relaxed structure of RbYHfPt2 (PBE).

Structure (POSCAR):
```
RbYHfPt2
1.0
-4.484 -2.291 0.708
-0.300 -0.937 -4.936
2.379 -4.440 0.698
Hf Rb Pt Y
1 1 2 1
Cartesian
-1.203 -3.834 -1.765 Hf
0.000 0.000 0.000 Rb
1.189 -2.220 0.349 Pt
-2.242 -1.146 0.354 Pt
-0.150 -0.468 -2.468 Y
```

The value obtained for the formation energy is 37.4 kcal/mol of atoms. The calculation puts the magnetic moment at 0.8 μB per cell. The density of states at the Fermi level comes out at 4.9 states/eV/cell.

=====

Entry from Alexandria: a relaxed structure of PrNdP2 (PBE).

Structure (POSCAR):
```
PrNdP2
1.0
-3.813 -1.561 -0.370
-0.608 -3.488 -2.139
-0.488 -5.501 5.110
P Nd Pr
2 1 1
Cartesian
-1.228 -2.636 0.648 P
-0.733 -4.550 3.629 P
-2.447 -5.302 1.342 Nd
-3.442 -8.839 3.393 Pr
```

The value obtained for the formation energy is -31.4 kcal/mol of atoms. The calculation puts the magnetic moment at 0.0 μB per cell. The density of states at the Fermi level comes out at 0.3 states/eV/cell.

=====

Entry from Alexandria: a relaxed structure of La2As3Rh4Au (PBE).

Structure (POSCAR):
```
La2As3Rh4Au
1.0
4.143 0.000 0.000
0.000 4.143 0.000
0.000 0.000 11.211
As Rh Au La
3 4 1 2
Cartesian
2.071 0.000 9.811 As
0.000 0.000 5.605 As
0.000 2.071 1.400 As
2.071 2.071 0.000 Rh
0.000 2.071 3.776 Rh
2.071 0.000 7.435 Rh
0.000 0.000 0.000 Rh
2.071 2.071 5.605 Au
2.071 0.000 2.900 La
0.000 2.071 8.310 La
```

The value obtained for the formation energy is -19.5 kcal/mol of atoms. The calculation puts the magnetic moment at 0.0 μB per cell. The density of states at the Fermi level comes out at 3.4 states/eV/cell.

=====

Entry from Alexandria: a relaxed structure of CdTcRh2 (PBE).

Structure (POSCAR):
```
CdTcRh2
1.0
-0.718 2.261 1.439
-3.128 -1.983 1.555
3.213 -1.709 4.286
Rh Tc Cd
2 1 1
Cartesian
0.025 -0.013 0.033 Rh
-1.057 -0.322 2.652 Rh
1.483 -0.788 1.978 Tc
0.524 -1.163 4.761 Cd
```

The value obtained for the formation energy is 3.2 kcal/mol of atoms. The calculation puts the magnetic moment at 0.0 μB per cell. The density of states at the Fermi level comes out at 5.1 states/eV/cell.

=====

Entry from Alexandria: a relaxed structure of Hg3Ir (PBE).

Structure (POSCAR):
```
Hg3Ir
1.0
-4.107 2.941 -2.064
-4.945 -2.253 0.490
4.178 0.982 3.370
Hg Ir
3 1
Cartesian
-4.526 0.344 -0.787 Hg
-2.228 2.133 0.259 Hg
-2.647 -0.463 1.536 Hg
0.000 0.000 0.000 Ir
```

The value obtained for the formation energy is 10.8 kcal/mol of atoms. The calculation puts the magnetic moment at 0.0 μB per cell. The density of states at the Fermi level comes out at 1.6 states/eV/cell.

=====

Entry from Alexandria: a relaxed structure of TaCr2B2 (PBE).

Structure (POSCAR):
```
TaCr2B2
1.0
3.077 0.000 0.000
-1.538 5.072 0.000
0.000 0.000 6.700
Cr Ta B
4 2 4
Cartesian
1.538 3.778 4.722 Cr
0.000 1.294 1.372 Cr
1.538 1.974 2.999 Cr
0.000 3.098 6.349 Cr
1.538 0.853 5.675 Ta
0.000 4.219 2.325 Ta
0.000 0.613 3.669 B
0.000 2.278 4.405 B
1.538 2.795 1.055 B
1.538 4.459 0.319 B
```

The value obtained for the formation energy is -9.2 kcal/mol of atoms. The calculation puts the magnetic moment at 0.0 μB per cell. The density of states at the Fermi level comes out at 5.5 states/eV/cell.

=====

Entry from Alexandria: a relaxed structure of KTlCd2 (PBE).

Structure (POSCAR):
```
KTlCd2
1.0
-1.880 -3.295 1.915
-1.413 -1.183 -3.422
4.965 -5.525 -4.630
Cd K Tl
2 1 1
Cartesian
4.677 -5.329 -4.576 Cd
2.064 -3.550 -4.080 Cd
-0.052 -3.324 -1.055 K
1.724 -6.678 -5.081 Tl
```

The value obtained for the formation energy is -0.4 kcal/mol of atoms. The calculation puts the magnetic moment at 0.0 μB per cell. The density of states at the Fermi level comes out at 1.5 states/eV/cell.

=====

Entry from Alexandria: a relaxed structure of PrDy4Er (PBE).

Structure (POSCAR):
```
PrDy4Er
1.0
-2.050 2.136 1.776
-5.019 0.689 -3.265
-5.152 -6.767 5.545
Dy Pr Er
4 1 1
Cartesian
-7.399 -4.681 3.800 Dy
-8.340 0.162 0.246 Dy
-4.823 0.739 0.256 Dy
-3.881 -4.104 3.810 Dy
-6.111 -1.971 2.028 Pr
0.000 0.000 0.000 Er
```

The value obtained for the formation energy is 4.6 kcal/mol of atoms. The calculation puts the magnetic moment at 0.0 μB per cell. The density of states at the Fermi level comes out at 12.8 states/eV/cell.

=====

Entry from Alexandria: a relaxed structure of TaCd2Si (PBE).

Structure (POSCAR):
```
TaCd2Si
1.0
2.925 -0.007 0.000
-0.701 2.840 0.000
0.000 0.000 9.327
Cd Ta Si
2 1 1
Cartesian
1.112 1.416 2.444 Cd
0.000 0.000 9.159 Cd
1.112 1.416 6.797 Ta
0.000 0.000 4.917 Si
```

For the electronic total energy, the calculation gives -18.3 eV per cell. The calculation puts the magnetic moment at 0.0 μB per cell. The density of states at the Fermi level comes out at 2.6 states/eV/cell.

=====

Entry from Alexandria: a relaxed structure of Dy2TlAg (PBE).

Structure (POSCAR):
```
Dy2TlAg
1.0
5.263 0.000 0.000
2.631 4.558 0.000
2.631 1.519 4.297
Dy Ag Tl
2 1 1
Cartesian
2.631 1.519 1.074 Dy
7.894 4.558 3.223 Dy
5.263 3.038 2.148 Ag
0.000 0.000 0.000 Tl
```

The value obtained for the formation energy is -7.8 kcal/mol of atoms. The calculation puts the magnetic moment at 0.0 μB per cell. The density of states at the Fermi level comes out at 3.2 states/eV/cell.

=====

Entry from Alexandria: a relaxed structure of TmTa2Os2 (PBE).

Structure (POSCAR):
```
TmTa2Os2
1.0
4.085 0.000 -1.526
-0.570 4.045 -1.526
-0.016 -0.019 6.187
Ta Tm Os
2 1 2
Cartesian
0.585 3.025 1.567 Ta
2.913 1.002 1.567 Ta
0.000 0.000 0.000 Tm
2.166 2.493 -0.432 Os
1.332 1.533 3.566 Os
```

The value obtained for the formation energy is -7.2 kcal/mol of atoms. The calculation puts the magnetic moment at 0.0 μB per cell. The density of states at the Fermi level comes out at 2.6 states/eV/cell.

=====

Entry from Alexandria: a relaxed structure of NdSm6Tm (PBE).

Structure (POSCAR):
```
NdSm6Tm
1.0
5.115 0.000 0.000
0.000 5.115 0.000
0.000 0.000 10.218
Tm Sm Nd
1 6 1
Cartesian
0.000 0.000 5.109 Tm
0.000 2.558 2.587 Sm
2.558 0.000 2.587 Sm
2.558 2.558 5.109 Sm
2.558 0.000 7.631 Sm
0.000 2.558 7.631 Sm
2.558 2.558 0.000 Sm
0.000 0.000 0.000 Nd
```

The value obtained for the formation energy is 0.5 kcal/mol of atoms. The calculation puts the magnetic moment at 0.0 μB per cell. The density of states at the Fermi level comes out at 13.3 states/eV/cell.

=====

Entry from Alexandria: a relaxed structure of Tb4PrHo (PBE).

Structure (POSCAR):
```
Tb4PrHo
1.0
-0.790 -3.509 -5.547
-0.836 -6.550 0.323
-5.885 -2.655 -1.422
Tb Ho Pr
4 1 1
Cartesian
-4.301 -6.191 -1.375 Tb
-1.746 -6.619 -3.443 Tb
-4.278 -4.666 -4.318 Tb
-4.697 -7.951 -4.156 Tb
0.000 0.000 0.000 Ho
-1.878 -3.179 -1.662 Pr
```

The value obtained for the formation energy is 6.2 kcal/mol of atoms. The calculation puts the magnetic moment at 0.4 μB per cell. The density of states at the Fermi level comes out at 11.1 states/eV/cell.

=====

Entry from Alexandria: a relaxed structure of LiSb2Cl (PBE).

Structure (POSCAR):
```
LiSb2Cl
1.0
-1.089 -0.293 8.148
2.345 -3.320 0.194
3.282 2.349 0.523
Sb Li Cl
2 1 1
Cartesian
0.000 0.000 0.000 Sb
2.813 -0.486 0.359 Sb
1.096 1.028 4.336 Li
0.628 -1.806 4.171 Cl
```

For the electronic total energy, the calculation gives -13.7 eV per cell. The calculation puts the magnetic moment at 0.0 μB per cell. The density of states at the Fermi level comes out at 1.1 states/eV/cell.

=====

Entry from Alexandria: a relaxed structure of K2NdCdF8 (PBE).

Structure (POSCAR):
```
K2NdCdF8
1.0
-0.739 0.853 3.828
3.500 -4.958 1.771
6.427 4.612 0.215
F K Nd Cd
8 2 1 1
Cartesian
4.360 -2.757 1.454 F
3.582 1.686 2.396 F
4.827 3.264 4.360 F
8.837 1.098 3.544 F
0.350 -0.592 2.269 F
1.606 0.952 4.252 F
5.605 -1.180 3.418 F
7.581 -0.445 1.561 F
2.947 -0.929 2.852 K
6.241 1.435 2.961 K
3.213 2.306 0.107 Nd
0.000 0.000 0.000 Cd
```

For the electronic total energy, the calculation gives -56.8 eV per cell. The calculation puts the magnetic moment at 1.1 μB per cell. The density of states at the Fermi level comes out at 12.0 states/eV/cell.

=====

Entry from Alexandria: a relaxed structure of LiNdSnCl6 (PBE).

Structure (POSCAR):
```
LiNdSnCl6
1.0
6.837 0.000 0.000
-3.419 5.921 0.000
0.000 0.000 12.533
Cl Nd Li Sn
12 2 2 2
Cartesian
1.265 2.016 10.900 Cl
5.573 2.016 7.899 Cl
1.041 5.834 4.634 Cl
-1.041 5.834 1.633 Cl
4.459 0.087 10.900 Cl
4.532 3.818 10.900 Cl
2.305 3.818 7.899 Cl
-1.113 2.103 1.633 Cl
1.113 2.103 4.634 Cl
2.154 3.906 1.633 Cl
2.378 0.087 7.899 Cl
-2.154 3.906 4.634 Cl
0.000 3.948 9.400 Nd
3.419 1.974 3.133 Nd
0.000 3.948 3.133 Li
3.419 1.974 9.400 Li
0.000 0.000 0.000 Sn
0.000 0.000 6.266 Sn
```

For the electronic total energy, the calculation gives -74.6 eV per cell. The calculation puts the magnetic moment at 0.0 μB per cell. The density of states at the Fermi level comes out at 0.0 states/eV/cell.

=====

Entry from Alexandria: a relaxed structure of Eu2YHo (PBE).

Structure (POSCAR):
```
Eu2YHo
1.0
-0.743 0.376 5.786
-5.061 -1.656 2.411
-0.243 -4.861 3.238
Eu Y Ho
2 1 1
Cartesian
-4.535 -4.605 8.576 Eu
-1.512 -1.535 2.859 Eu
-3.023 -3.070 5.717 Y
0.000 0.000 0.000 Ho
```

The value obtained for the formation energy is 3.9 kcal/mol of atoms. The calculation puts the magnetic moment at 14.5 μB per cell. The density of states at the Fermi level comes out at 5.7 states/eV/cell.

=====

Entry from Alexandria: a relaxed structure of AlTe2RhN (PBE).

Structure (POSCAR):
```
AlTe2RhN
1.0
-4.783 2.698 -0.557
-1.734 -3.816 -3.592
-1.416 -1.942 2.747
Te N Al Rh
2 1 1 1
Cartesian
-2.392 1.349 -0.279 Te
-0.867 -1.908 -1.796 Te
-0.708 -0.971 1.374 N
-3.967 -1.530 -0.701 Al
0.000 0.000 0.000 Rh
```

For the electronic total energy, the calculation gives -23.9 eV per cell. The calculation puts the magnetic moment at 0.0 μB per cell. The density of states at the Fermi level comes out at 4.0 states/eV/cell.

=====

Entry from Alexandria: a relaxed structure of TbPuSe2N (PBE).

Structure (POSCAR):
```
TbPuSe2N
1.0
-3.685 -1.380 0.072
0.132 -0.554 -3.894
5.082 -13.458 2.089
Se Pu N Tb
4 2 2 2
Cartesian
2.788 -12.953 1.939 Se
0.517 -1.473 -1.762 Se
-0.247 -4.916 0.692 Se
3.552 -9.510 -0.514 Se
1.086 -8.447 1.239 Pu
2.219 -5.979 -1.062 Pu
0.764 -7.696 -0.867 N
2.541 -6.729 1.044 N
-1.192 -2.413 0.303 Tb
4.497 -12.013 -0.126 Tb
```

For the electronic total energy, the calculation gives -84.1 eV per cell. The calculation puts the magnetic moment at 7.7 μB per cell. The density of states at the Fermi level comes out at 11.3 states/eV/cell.